First-principles (PBE-GGA) data for a relaxed structure of KInN, as listed in the Alexandria database.

The structure in extended XYZ format:
```
6
Lattice="6.2585 0.0000 0.0000 0.0000 3.6170 0.0000 -0.0268 0.0000 6.0612" Properties=species:S:1:pos:R:3 pbc="T T T"
K 0.0000 0.0000 0.0000
K 3.1292 1.8085 0.0000
In 1.0151 1.8085 3.2830
In 4.1443 0.0000 3.2830
N 2.0571 0.0000 4.1231
N 5.1864 1.8085 4.1231
```

Output
As for the space-group type: No. 8. The value obtained for the total magnetization is 0.26 μB per atom. The calculation puts the energy above the most stable polymorph in this dataset at 0.90 eV/f.u.